Run a
VASP calculation (PBE-GGA) on a relaxed Nd2EuIn crystal.

The structure in extended XYZ format:
```
4
Lattice="-4.666 0.544 -1.439 1.303 -1.324 -4.724 -0.911 -4.868 1.113" Properties=species:S:1:pos:R:3 pbc="T T T"
In -2.333 0.272 -0.720
Nd 0.651 -0.662 -2.362
Nd -0.455 -2.434 0.557
Eu -2.137 -2.824 -2.525
```

Properties
- ρ: 7283 kg/m3

Run b
VASP calculation (PBE-GGA) on a relaxed Nd2EuIn crystal.

The structure in extended XYZ format:
```
4
Lattice="3.783 0.000 0.000 0.000 3.783 0.000 0.000 0.000 9.397" Properties=species:S:1:pos:R:3 pbc="T T T"
In 1.891 1.891 0.000
Eu 1.891 1.891 4.698
Nd 0.000 0.000 2.014
Nd 0.000 0.000 7.383
```

Properties
- ρ: 6857 kg/m3

Most stable: run a

Run a
VASP calculation (PBE-GGA) on a relaxed NdEu2In crystal.

The structure in extended XYZ format:
```
4
Lattice="5.681 0.000 0.000 2.840 4.920 0.000 2.840 1.640 4.638" Properties=species:S:1:pos:R:3 pbc="T T T"
Nd 0.000 0.000 0.000
Eu 2.840 1.640 1.160
Eu 8.521 4.920 3.479
In 5.681 3.280 2.319
```

Properties
- ρ: 7211 kg/m3

Run b
VASP calculation (PBE-GGA) on a relaxed NdEu2In crystal.

The structure in extended XYZ format:
```
4
Lattice="3.904 0.000 0.000 0.000 3.904 0.000 0.000 0.000 9.007" Properties=species:S:1:pos:R:3 pbc="T T T"
In 1.952 1.952 0.000
Nd 1.952 1.952 4.504
Eu 0.000 0.000 7.070
Eu 0.000 0.000 1.938
```

Properties
- ρ: 6811 kg/m3

Most stable: run b

Run a
VASP calculation (PBE-GGA) on a relaxed NdEu2In crystal.

The structure in extended XYZ format:
```
4
Lattice="-1.571 3.128 -1.026 -2.968 -0.059 -2.120 -8.673 0.717 8.987" Properties=species:S:1:pos:R:3 pbc="T T T"
Eu -6.625 0.804 6.116
Eu -6.588 2.981 -0.274
In -6.607 1.893 2.921
Nd 0.000 0.000 0.000
```

Properties
- ρ: 6578 kg/m3

Run b
VASP calculation (PBE-GGA) on a relaxed NdEu2In crystal.

The structure in extended XYZ format:
```
4
Lattice="5.264 0.000 0.000 0.000 4.979 0.000 0.000 0.000 4.979" Properties=species:S:1:pos:R:3 pbc="T T T"
Nd 2.632 0.000 0.000
Eu 0.000 2.489 0.000
Eu 0.000 0.000 2.489
In 2.632 2.489 2.489
```

Properties
- ρ: 7163 kg/m3

Most stable: run b

Run a
VASP calculation (PBE-GGA) on a relaxed EuPaIn2 crystal.

The structure in extended XYZ format:
```
4
Lattice="3.357 0.000 0.000 0.000 3.357 0.000 0.000 0.000 9.532" Properties=species:S:1:pos:R:3 pbc="T T T"
Eu 1.679 1.679 4.766
Pa 1.679 1.679 0.000
In 0.000 0.000 7.222
In 0.000 0.000 2.310
```

Properties
- ρ: 9470 kg/m3

Run b
VASP calculation (PBE-GGA) on a relaxed EuPaIn2 crystal.

The structure in extended XYZ format:
```
4
Lattice="-2.462 -1.190 -1.702 3.212 -4.667 -1.383 -1.955 -2.754 4.754" Properties=species:S:1:pos:R:3 pbc="T T T"
Pa -0.602 -4.306 0.835
Eu -1.231 -0.595 -0.851
In 1.606 -2.333 -0.692
In -0.977 -1.377 2.377
```

Properties
- ρ: 9289 kg/m3

Most stable: run a

Run a
VASP calculation (PBE-GGA) on a relaxed EuInPb crystal.

The structure in extended XYZ format:
```
3
Lattice="3.731 0.000 0.000 0.000 5.292 0.000 0.000 -2.646 4.583" Properties=species:S:1:pos:R:3 pbc="T T T"
Pb 0.963 0.000 3.055
Eu 2.487 2.646 1.528
In 0.282 0.000 0.000
```

Properties
- ρ: 8697 kg/m3

Run b
VASP calculation (PBE-GGA) on a relaxed EuInPb crystal.

The structure in extended XYZ format:
```
3
Lattice="-3.147 3.410 2.467 -0.864 -0.483 5.161 2.034 3.507 3.344" Properties=species:S:1:pos:R:3 pbc="T T T"
Pb 0.000 0.000 0.000
In -0.494 1.609 2.743
Eu -0.989 3.217 5.486
```

Properties
- ρ: 7669 kg/m3

Most stable: run a

Run a
VASP calculation (PBE-GGA) on a relaxed EuIn2Pd crystal.

The structure in extended XYZ format:
```
4
Lattice="-1.716 -1.433 4.048 -2.999 -3.517 0.125 2.675 -5.253 1.915" Properties=species:S:1:pos:R:3 pbc="T T T"
Eu 0.000 0.000 0.000
In -1.973 -7.276 4.511
In -0.067 -2.926 1.577
Pd -1.020 -5.101 3.044
```

Properties
- ρ: 7825 kg/m3

Run b
VASP calculation (PBE-GGA) on a relaxed EuIn2Pd crystal.

The structure in extended XYZ format:
```
4
Lattice="5.050 0.000 0.000 2.525 4.373 0.000 2.525 1.458 4.123" Properties=species:S:1:pos:R:3 pbc="T T T"
In 7.574 4.373 3.092
In 2.525 1.458 1.031
Pd 5.050 2.915 2.061
Eu 0.000 0.000 0.000
```

Properties
- ρ: 8901 kg/m3

Most stable: run a